(1)
Below is a geometry-optimized In3PAu3 structure, with properties calculated at the GGA-PBE level.

a = 3.511 Å, b = 7.771 Å, c = 10.988 Å
α = 90.00°, β = 90.00°, γ = 90.00°
Fractional coordinates of all 14 atoms:
In 0.250 0.036 0.132
In 0.250 0.250 0.650
In 0.250 0.464 0.132
In 0.750 0.536 0.868
In 0.750 0.750 0.350
In 0.750 0.964 0.868
P 0.250 0.750 0.698
P 0.750 0.250 0.302
Au 0.250 0.053 0.405
Au 0.250 0.250 0.916
Au 0.250 0.447 0.405
Au 0.750 0.553 0.595
Au 0.750 0.750 0.084
Au 0.750 0.947 0.595

(2)
Below is a geometry-optimized In2PAu2 structure, with properties calculated at the GGA-PBE level.

a = 8.116 Å, b = 8.116 Å, c = 3.258 Å
α = 90.00°, β = 90.00°, γ = 90.00°
Fractional coordinates of all 10 atoms:
In 0.182 0.318 0.000
In 0.318 0.818 0.000
In 0.682 0.182 0.000
In 0.818 0.682 0.000
P 0.000 0.000 0.000
P 0.500 0.500 0.000
Au 0.120 0.620 0.500
Au 0.380 0.120 0.500
Au 0.620 0.880 0.500
Au 0.880 0.380 0.500

## Properties
Its energy above the lowest structure with this stoichiometry is 0.093 eV/atom.

(3)
Below is a geometry-optimized In2P2Au structure, with properties calculated at the GGA-PBE level.

a = 3.438 Å, b = 3.438 Å, c = 17.328 Å
α = 90.00°, β = 90.00°, γ = 90.00°
Fractional coordinates of all 10 atoms:
In 0.000 0.000 0.101
In 0.000 0.000 0.899
In 0.500 0.500 0.399
In 0.500 0.500 0.601
P 0.000 0.500 0.250
P 0.000 0.500 0.750
P 0.500 0.000 0.250
P 0.500 0.000 0.750
Au 0.000 0.000 0.500
Au 0.500 0.500 0.000

## Properties
Its energy above the lowest structure with this stoichiometry is 0.000 eV/atom.

(4)
Below is a geometry-optimized InP2Au2 structure, with properties calculated at the GGA-PBE level.

a = 8.084 Å, b = 8.084 Å, c = 2.917 Å
α = 90.00°, β = 90.00°, γ = 90.00°
Fractional coordinates of all 10 atoms:
In 0.000 0.000 0.000
In 0.500 0.500 0.000
P 0.147 0.353 0.500
P 0.353 0.853 0.500
P 0.647 0.147 0.500
P 0.853 0.647 0.500
Au 0.156 0.656 0.000
Au 0.344 0.156 0.000
Au 0.656 0.844 0.000
Au 0.844 0.344 0.000

(5)
Below is a geometry-optimized InPAu3 structure, with properties calculated at the GGA-PBE level.

a = 5.143 Å, b = 5.143 Å, c = 5.143 Å
α = 90.00°, β = 90.00°, γ = 90.00°
Fractional coordinates of all 5 atoms:
In 0.000 0.000 0.000
P 0.500 0.500 0.500
Au 0.000 0.000 0.500
Au 0.000 0.500 0.000
Au 0.500 0.000 0.000

## Properties
Its energy above the lowest structure with this stoichiometry is 0.948 eV/atom.

(6)
Below is a geometry-optimized InP4Au structure, with properties calculated at the GGA-PBE level.

a = 5.931 Å, b = 5.931 Å, c = 5.931 Å
α = 60.00°, β = 60.00°, γ = 60.00°
Fractional coordinates of all 6 atoms:
In 0.000 0.000 0.000
P 0.407 0.407 0.407
P 0.407 0.407 0.779
P 0.407 0.779 0.407
P 0.779 0.407 0.407
Au 0.750 0.750 0.750

(7)
Below is a geometry-optimized In2P2Au structure, with properties calculated at the GGA-PBE level.

a = 7.466 Å, b = 7.466 Å, c = 4.351 Å
α = 90.00°, β = 90.00°, γ = 90.00°
Fractional coordinates of all 10 atoms:
In 0.185 0.315 0.000
In 0.315 0.815 0.000
In 0.685 0.185 0.000
In 0.815 0.685 0.000
P 0.099 0.599 0.500
P 0.401 0.099 0.500
P 0.599 0.901 0.500
P 0.901 0.401 0.500
Au 0.000 0.000 0.000
Au 0.500 0.500 0.000

## Properties
Its energy above the lowest structure with this stoichiometry is 0.170 eV/atom.

(8)
Below is a geometry-optimized In2P2Au structure, with properties calculated at the GGA-PBE level.

a = 7.395 Å, b = 7.395 Å, c = 4.066 Å
α = 90.00°, β = 90.00°, γ = 90.00°
Fractional coordinates of all 10 atoms:
In 0.135 0.365 0.000
In 0.365 0.865 0.000
In 0.635 0.135 0.000
In 0.865 0.635 0.000
P 0.212 0.712 0.500
P 0.288 0.212 0.500
P 0.712 0.788 0.500
P 0.788 0.288 0.500
Au 0.000 0.000 0.500
Au 0.500 0.500 0.500

## Properties
Its energy above the lowest structure with this stoichiometry is 0.093 eV/atom.

no.,calculated formation energy (eV per formula unit)
1,-0.4
2,1.0
3,0.4
4,1.8
5,5.3
6,2.1
7,1.3
8,0.9